Entry 1:
CaPm7Dy12 PBE optimized geometry; DOS(E_F) = 27.603 states/eV/f.u.; formation energy from the elements = 0.619 eV per atom
1.0
-5.676 5.676 5.676
5.676 -5.676 5.676
5.676 5.676 -5.676
Ca Pm Dy
1 7 12
Cartesian
0.000 0.000 0.000
2.838 2.838 -2.838
2.838 -2.838 2.838
5.676 0.000 0.000
-2.838 2.838 2.838
0.000 5.676 0.000
0.000 0.000 5.676
2.838 2.838 2.838
5.676 2.791 -2.791
5.676 -2.791 2.791
2.791 5.676 -2.791
2.885 2.885 0.000
2.885 0.000 2.885
2.791 -2.791 5.676
5.676 2.791 2.791
0.000 2.885 2.885
-2.791 5.676 2.791
-2.791 2.791 5.676
2.791 5.676 2.791
2.791 2.791 5.676

=====

Entry 2:
Ca2Pm5Dy PBE optimized geometry; DOS(E_F) = 11.802 states/eV/f.u.; formation energy from the elements = 0.048 eV per atom
1.0
-2.593 2.593 10.562
2.593 -2.593 10.562
2.593 2.593 -10.562
Ca Pm Dy
2 5 1
Cartesian
0.000 0.000 5.276
0.000 0.000 15.847
0.000 0.000 0.000
2.593 0.000 2.477
2.593 0.000 8.085
0.000 2.593 2.477
0.000 2.593 8.085
0.000 0.000 10.562

=====

Entry 3:
CaPmDy2 PBE optimized geometry; polymorph energy (0 for the lowest one) = 58 meV per atom; DOS(E_F) = 6.637 states/eV/f.u.; formation energy from the elements = 0.119 eV per atom
1.0
5.107 0.000 0.000
0.000 5.107 0.000
0.000 0.000 5.182
Ca Pm Dy
1 1 2
Cartesian
0.000 0.000 0.000
2.554 2.554 0.000
0.000 2.554 2.591
2.554 0.000 2.591

=====

Entry 4:
CaPm3Dy7 PBE optimized geometry; DOS(E_F) = 15.807 states/eV/f.u.; formation energy from the elements = 0.237 eV per atom
1.0
5.860 -5.032 0.000
5.860 5.032 0.000
-0.548 0.000 6.441
Ca Pm Dy
1 3 7
Cartesian
0.000 0.000 0.000
5.587 1.744 3.221
5.860 0.000 0.000
5.587 -1.744 3.221
-0.274 0.000 3.221
2.446 1.710 4.878
2.943 0.000 1.887
2.446 -1.710 4.878
8.727 1.710 1.563
8.230 0.000 4.554
8.727 -1.710 1.563

=====

Entry 5:
CaPmDy2 PBE optimized geometry; polymorph energy (0 for the lowest one) = 13 meV per atom; DOS(E_F) = 6.081 states/eV/f.u.; formation energy from the elements = 0.075 eV per atom
1.0
3.648 0.000 0.000
0.000 3.648 0.000
0.000 0.000 10.371
Ca Pm Dy
1 1 2
Cartesian
0.000 0.000 0.000
0.000 0.000 5.185
1.824 1.824 2.769
1.824 1.824 7.602

=====

Entry 6:
CaPm5Dy4 PBE optimized geometry; DOS(E_F) = 13.643 states/eV/f.u.; formation energy from the elements = 0.028 eV per atom
1.0
3.621 0.000 0.000
0.000 3.621 0.000
0.000 0.000 25.720
Ca Pm Dy
1 5 4
Cartesian
0.000 0.000 0.000
1.811 1.811 2.818
1.811 1.811 7.830
1.811 1.811 12.860
1.811 1.811 17.890
1.811 1.811 22.902
0.000 0.000 5.269
0.000 0.000 10.338
0.000 0.000 15.382
0.000 0.000 20.451

=====

Asked for uncorrected energy across the records above, the calculation gives -78.1, -32.0, -15.5, -45.9, -15.7, -43.9 eV for the cell shown in order.